First-principles (PBE) data for SnBO3 after structural relaxation, as listed in the Alexandria database.

abc: 4.0254 4.0254 4.0254
angles: 90.00 90.00 90.00
With the nearest neighbours (Å) after each atom.
Positions (direct):
Sn1 0.0000 0.0000 0.0000  6 O 2.01
B1 0.5000 0.5000 0.5000  12 O 2.85
O1 0.0000 0.0000 0.5000  2 Sn 2.01
O2 0.0000 0.5000 0.0000  2 Sn 2.01
O3 0.5000 0.0000 0.0000  2 Sn 2.01

Computed properties:
Its space-group type is No. 221. The calculation puts the uncorrected formation energy at 222.7 meV per atom. The value obtained for the total energy is -4.89 eV per atom.